1.
The following is a GGA-PBE calculation of a geometry-optimized Cr2Ga2Sn structure, from the Alexandria database.

a = 7.172 Å, b = 7.172 Å, c = 3.093 Å
α = 90.00°, β = 90.00°, γ = 90.00°
Fractional positions:
Cr: 0.105 0.395 0.000
Cr: 0.395 0.895 0.000
Cr: 0.605 0.105 0.000
Cr: 0.895 0.605 0.000
Ga: 0.182 0.682 0.500
Ga: 0.318 0.182 0.500
Ga: 0.682 0.818 0.500
Ga: 0.818 0.318 0.500
Sn: 0.000 0.000 0.000
Sn: 0.500 0.500 0.000

Summary:
DFT total energy (hartree per atom): -0.2063
Symmetry: P4/mbm, No. 127



2.
The following is a GGA-PBE calculation of a geometry-optimized CrGaSn3 structure, from the Alexandria database.

a = 5.067 Å, b = 5.067 Å, c = 5.067 Å
α = 90.00°, β = 90.00°, γ = 90.00°
Fractional positions:
Cr: 0.000 0.000 0.000
Ga: 0.500 0.500 0.500
Sn: 0.000 0.000 0.500
Sn: 0.000 0.500 0.000
Sn: 0.500 0.000 0.000

Summary:
DFT total energy (hartree per atom): -0.1700
Symmetry: Pm-3m, No. 221



3.
The following is a GGA-PBE calculation of a geometry-optimized Cr2Ga2Sn structure, from the Alexandria database.

a = 7.597 Å, b = 7.597 Å, c = 3.005 Å
α = 90.00°, β = 90.00°, γ = 90.00°
Fractional positions:
Cr: 0.174 0.326 0.000
Cr: 0.326 0.826 0.000
Cr: 0.674 0.174 0.000
Cr: 0.826 0.674 0.000
Ga: 0.122 0.622 0.500
Ga: 0.378 0.122 0.500
Ga: 0.622 0.878 0.500
Ga: 0.878 0.378 0.500
Sn: 0.000 0.000 0.500
Sn: 0.500 0.500 0.500

Summary:
DFT total energy (hartree per atom): -0.2074
Symmetry: P4/mbm, No. 127



4.
The following is a GGA-PBE calculation of a geometry-optimized Cr2Ga2Sn structure, from the Alexandria database.

a = 6.693 Å, b = 6.693 Å, c = 6.693 Å
α = 148.74°, β = 148.74°, γ = 44.79°
Fractional positions:
Cr: 0.092 0.092 0.000
Cr: 0.908 0.908 0.000
Ga: 0.250 0.750 0.500
Ga: 0.750 0.250 0.500
Sn: 0.500 0.500 0.000

Summary:
DFT total energy (hartree per atom): -0.2043
Symmetry: I4/mmm, No. 139



5.
The following is a GGA-PBE calculation of a geometry-optimized SrCr2GaSn structure, from the Alexandria database.

a = 5.540 Å, b = 5.540 Å, c = 5.553 Å
α = 90.00°, β = 90.00°, γ = 90.00°
Fractional positions:
Sr: 0.000 0.000 0.000
Cr: 0.000 0.500 0.000
Cr: 0.500 0.000 0.000
Ga: 0.000 0.000 0.500
Sn: 0.500 0.500 0.500

Summary:
DFT total energy (hartree per atom): -0.1443
Symmetry: P4/mmm, No. 123



6.
The following is a GGA-PBE calculation of a geometry-optimized Sr3CrGa structure, from the Alexandria database.

a = 6.106 Å, b = 6.106 Å, c = 6.106 Å
α = 90.00°, β = 90.00°, γ = 90.00°
Fractional positions:
Sr: 0.000 0.000 0.500
Sr: 0.000 0.500 0.000
Sr: 0.500 0.000 0.000
Cr: 0.500 0.500 0.500
Ga: 0.000 0.000 0.000

Summary:
DFT total energy (hartree per atom): -0.1144
Symmetry: Pm-3m, No. 221



7.
The following is a GGA-PBE calculation of a geometry-optimized SrCrGa2 structure, from the Alexandria database.

a = 9.468 Å, b = 9.468 Å, c = 9.468 Å
α = 148.92°, β = 148.92°, γ = 44.53°
Fractional positions:
Sr: 0.000 0.000 0.000
Sr: 0.750 0.250 0.500
Cr: 0.250 0.750 0.500
Cr: 0.500 0.500 0.000
Ga: 0.372 0.625 0.247
Ga: 0.375 0.622 0.747
Ga: 0.378 0.125 0.753
Ga: 0.875 0.628 0.253

Summary:
DFT total energy (hartree per atom): -0.1539
Symmetry: I-42d, No. 122



8.
The following is a GGA-PBE calculation of a geometry-optimized SrCr2Ga structure, from the Alexandria database.

a = 9.681 Å, b = 9.681 Å, c = 9.681 Å
α = 152.57°, β = 152.57°, γ = 39.17°
Fractional positions:
Sr: 0.375 0.625 0.750
Sr: 0.625 0.375 0.250
Cr: 0.000 0.000 0.000
Cr: 0.000 0.000 0.500
Cr: 0.000 0.500 0.000
Cr: 0.500 0.000 0.500
Ga: 0.125 0.875 0.250
Ga: 0.875 0.125 0.750

Summary:
DFT total energy (hartree per atom): -0.1944
Symmetry: I4_1/amd, No. 141



9.
The following is a GGA-PBE calculation of a geometry-optimized Sr2CrGaTe structure, from the Alexandria database.

a = 6.016 Å, b = 6.016 Å, c = 4.770 Å
α = 90.00°, β = 90.00°, γ = 90.00°
Fractional positions:
Sr: 0.000 0.500 0.000
Sr: 0.500 0.000 0.000
Cr: 0.000 0.000 0.500
Ga: 0.000 0.000 0.000
Te: 0.500 0.500 0.500

Summary:
Symmetry: P4/mmm, No. 123
Raw formation energy (kcal/mol of atoms): -4.8



10.
The following is a GGA-PBE calculation of a geometry-optimized TaCrGa structure, from the Alexandria database.

a = 4.872 Å, b = 4.872 Å, c = 5.463 Å
α = 118.49°, β = 118.49°, γ = 56.13°
Fractional positions:
Ta: 0.178 0.178 0.264
Ta: 0.822 0.822 0.736
Cr: 0.492 0.492 0.770
Cr: 0.508 0.508 0.230
Ga: 0.160 0.160 0.754
Ga: 0.840 0.840 0.246

Summary:
DFT total energy (hartree per atom): -0.2996
Symmetry: C2/m, No. 12



11.
The following is a GGA-PBE calculation of a geometry-optimized TaCrGa structure, from the Alexandria database.

a = 5.336 Å, b = 5.336 Å, c = 5.807 Å
α = 106.85°, β = 106.85°, γ = 35.05°
Fractional positions:
Ta: 0.157 0.157 0.084
Ta: 0.843 0.843 0.916
Cr: 0.493 0.493 0.742
Cr: 0.507 0.507 0.258
Ga: 0.151 0.151 0.585
Ga: 0.849 0.849 0.415

Summary:
DFT total energy (hartree per atom): -0.3020
Symmetry: C2/m, No. 12



12.
The following is a GGA-PBE calculation of a geometry-optimized TaCrGa structure, from the Alexandria database.

a = 4.768 Å, b = 4.768 Å, c = 5.343 Å
α = 107.41°, β = 107.41°, γ = 51.85°
Fractional positions:
Ta: 0.000 0.000 0.000
Ta: 0.702 0.702 0.354
Cr: 0.023 0.023 0.513
Cr: 0.314 0.314 0.680
Ga: 0.368 0.368 0.222
Ga: 0.644 0.644 0.810

Summary:
DFT total energy (hartree per atom): -0.3002
Symmetry: Cm, No. 8



13.
The following is a GGA-PBE calculation of a geometry-optimized TaCrGa structure, from the Alexandria database.

a = 5.029 Å, b = 5.029 Å, c = 6.041 Å
α = 106.80°, β = 106.80°, γ = 38.18°
Fractional positions:
Ta: 0.000 0.000 0.000
Ta: 0.673 0.673 0.365
Cr: 0.006 0.006 0.535
Cr: 0.346 0.346 0.677
Ga: 0.351 0.351 0.216
Ga: 0.678 0.678 0.834

Summary:
DFT total energy (hartree per atom): -0.3013
Symmetry: Cm, No. 8



14.
The following is a GGA-PBE calculation of a geometry-optimized TaCrGa2 structure, from the Alexandria database.

a = 5.631 Å, b = 5.631 Å, c = 5.631 Å
α = 103.17°, β = 103.17°, γ = 122.98°
Fractional positions:
Ta: 0.000 0.000 0.000
Ta: 0.750 0.250 0.500
Cr: 0.250 0.750 0.500
Cr: 0.500 0.500 0.000
Ga: 0.144 0.625 0.019
Ga: 0.375 0.394 0.519
Ga: 0.606 0.125 0.981
Ga: 0.875 0.856 0.481

Summary:
DFT total energy (hartree per atom): -0.2414
Symmetry: I-42d, No. 122



15.
The following is a GGA-PBE calculation of a geometry-optimized TaCrGa structure, from the Alexandria database.

a = 4.852 Å, b = 4.852 Å, c = 4.852 Å
α = 140.93°, β = 140.93°, γ = 56.45°
Fractional positions:
Ta: 0.000 0.000 0.000
Cr: 0.347 0.347 0.000
Ga: 0.684 0.684 0.000

Summary:
DFT total energy (hartree per atom): -0.3024
Symmetry: I4mm, No. 107



16.
The following is a GGA-PBE calculation of a geometry-optimized Ta3CrGa structure, from the Alexandria database.

a = 4.605 Å, b = 4.605 Å, c = 4.605 Å
α = 90.00°, β = 90.00°, γ = 90.00°
Fractional positions:
Ta: 0.000 0.000 0.500
Ta: 0.000 0.500 0.000
Ta: 0.500 0.000 0.000
Cr: 0.000 0.000 0.000
Ga: 0.500 0.500 0.500

Summary:
DFT total energy (hartree per atom): -0.3201
Symmetry: Pm-3m, No. 221



17.
The following is a GGA-PBE calculation of a geometry-optimized TaCrGa structure, from the Alexandria database.

a = 4.493 Å, b = 4.745 Å, c = 4.918 Å
α = 75.54°, β = 64.75°, γ = 75.58°
Fractional positions:
Ta: 0.145 0.249 0.344
Ta: 0.855 0.751 0.656
Cr: 0.182 0.784 0.972
Cr: 0.818 0.216 0.028
Ga: 0.444 0.287 0.721
Ga: 0.556 0.713 0.279

Summary:
DFT total energy (hartree per atom): -0.2990
Symmetry: P-1, No. 2



18.
The following is a GGA-PBE calculation of a geometry-optimized TaCr2Ga2 structure, from the Alexandria database.

a = 6.883 Å, b = 6.883 Å, c = 3.050 Å
α = 90.00°, β = 90.00°, γ = 90.00°
Fractional positions:
Ta: 0.000 0.000 0.000
Ta: 0.500 0.500 0.000
Cr: 0.173 0.327 0.500
Cr: 0.327 0.827 0.500
Cr: 0.673 0.173 0.500
Cr: 0.827 0.673 0.500
Ga: 0.127 0.627 0.000
Ga: 0.373 0.127 0.000
Ga: 0.627 0.873 0.000
Ga: 0.873 0.373 0.000

Summary:
DFT total energy (hartree per atom): -0.2709
Symmetry: P4/mbm, No. 127



19.
The following is a GGA-PBE calculation of a geometry-optimized TaCr4Ga structure, from the Alexandria database.

a = 4.835 Å, b = 4.835 Å, c = 4.835 Å
α = 60.00°, β = 60.00°, γ = 60.00°
Fractional positions:
Ta: 0.000 0.000 0.000
Cr: 0.129 0.624 0.624
Cr: 0.624 0.129 0.624
Cr: 0.624 0.624 0.129
Cr: 0.624 0.624 0.624
Ga: 0.250 0.250 0.250

Summary:
DFT total energy (hartree per atom): -0.3279
Symmetry: F-43m, No. 216



20.
The following is a GGA-PBE calculation of a geometry-optimized TaCrGa structure, from the Alexandria database.

a = 5.084 Å, b = 5.084 Å, c = 5.877 Å
α = 105.41°, β = 105.41°, γ = 38.04°
Fractional positions:
Ta: 0.155 0.155 0.324
Ta: 0.845 0.845 0.676
Cr: 0.500 0.500 0.000
Cr: 0.500 0.500 0.500
Ga: 0.152 0.152 0.820
Ga: 0.848 0.848 0.180

Summary:
DFT total energy (hartree per atom): -0.3023
Symmetry: C2/m, No. 12



| no. | DOS(E_F) (states/eV/f.u.) |
| --- | --- |
| 1 | 3.9 |
| 2 | 5.5 |
| 3 | 2.1 |
| 4 | 1.2 |
| 5 | 4.0 |
| 6 | 5.7 |
| 7 | 2.1 |
| 8 | 3.5 |
| 9 | 2.2 |
| 10 | 1.9 |
| 11 | 2.2 |
| 12 | 2.3 |
| 13 | 1.6 |
| 14 | 3.3 |
| 15 | 1.3 |
| 16 | 5.0 |
| 17 | 1.9 |
| 18 | 3.1 |
| 19 | 3.5 |
| 20 | 1.8 |